No. 1
A plane-wave DFT calculation with PBE-GGA was carried out for a geometry-optimized Ga2NiI6 structure.

Values from the calculation:
As for the density: 3.62 g/cm³. As for the formation energy without anion corrections: -0.3068 eV per atom. Its total moment is 8.18 μB per cell. The calculation puts the density of states at the Fermi level at 0.416 states/eV/atom.

Geometry as CIF:
```
data_Ga2NiI6
_cell_length_a 16.024
_cell_length_b 16.018
_cell_length_c 6.950
_cell_angle_alpha 90.00
_cell_angle_beta 98.81
_cell_angle_gamma 90.00
_symmetry_space_group_name_H-M 'C 1 2/c 1'
_symmetry_Int_Tables_number 15
loop_
_symmetry_equiv_pos_as_xyz
'x,y,z'
'-x,-y,-z'
'-x,y,-z+1/2'
'x,-y,z+1/2'
'x+1/2,y+1/2,z'
'-x+1/2,-y+1/2,-z'
'-x+1/2,y+1/2,-z+1/2'
'x+1/2,-y+1/2,z+1/2'
loop_
_atom_site_label
_atom_site_fract_x
_atom_site_fract_y
_atom_site_fract_z
Ga1 0.078 0.082 0.277
Ni1 0.000 0.499 0.250
I1 0.084 0.416 0.532
I2 0.140 0.065 0.661
I3 0.162 0.204 0.175
```

---

No. 2
A plane-wave DFT calculation with PBE-GGA was carried out for a geometry-optimized NdPuTlBi structure.

Values from the calculation:
As for the density: 11.18 g/cm³. Its total moment is 26.06 μB per cell. The calculation puts the density of states at the Fermi level at 3.153 states/eV/atom. For the formation energy, the calculation gives -0.2956 eV per atom.

Geometry as CIF:
```
data_NdPuTlBi
_cell_length_a 7.810
_cell_length_b 7.810
_cell_length_c 7.810
_cell_angle_alpha 90.00
_cell_angle_beta 90.00
_cell_angle_gamma 90.00
_symmetry_space_group_name_H-M 'F -4 3 m'
_symmetry_Int_Tables_number 216
_symmetry_space_group_name_Hall 'F -4 2 3'
loop_
_atom_site_label
_atom_site_fract_x
_atom_site_fract_y
_atom_site_fract_z
Nd1 0.000 0.000 0.000
Pu1 0.000 0.000 0.500
Tl1 0.250 0.250 0.750
Bi1 0.250 0.250 0.250
```

---

No. 3
A plane-wave DFT calculation with PBE-GGA was carried out for a geometry-optimized TmZrPb structure.

Values from the calculation:
As for the density: 10.18 g/cm³. Its total moment is 0.28 μB per cell. The calculation puts the density of states at the Fermi level at 1.834 states/eV/atom. For the formation energy, the calculation gives -0.1599 eV per atom.

Geometry as CIF:
```
data_TmZrPb
_cell_length_a 3.837
_cell_length_b 3.837
_cell_length_c 10.350
_cell_angle_alpha 90.00
_cell_angle_beta 90.00
_cell_angle_gamma 90.00
_symmetry_space_group_name_H-M 'I 4 m m'
_symmetry_Int_Tables_number 107
_symmetry_space_group_name_Hall 'I 4 -2'
loop_
_atom_site_label
_atom_site_fract_x
_atom_site_fract_y
_atom_site_fract_z
Tm1 0.000 0.000 0.000
Zr1 0.000 0.000 0.328
Pb1 0.000 0.000 0.673
```

---

No. 4
A plane-wave DFT calculation with PBE-GGA was carried out for a geometry-optimized CsRbCo2Cl6 structure.

Values from the calculation:
As for the density: 2.51 g/cm³. As for the formation energy without anion corrections: -1.1640 eV per atom. Its total moment is 24.00 μB per cell.

Geometry as CIF:
```
data_CsRbCo2Cl6
_cell_length_a 14.305
_cell_length_b 11.734
_cell_length_c 9.288
_cell_angle_alpha 90.00
_cell_angle_beta 111.37
_cell_angle_gamma 90.00
_symmetry_space_group_name_H-M 'C 1 2/c 1'
_symmetry_Int_Tables_number 15
loop_
_symmetry_equiv_pos_as_xyz
'x,y,z'
'-x,-y,-z'
'-x,y,-z+1/2'
'x,-y,z+1/2'
'x+1/2,y+1/2,z'
'-x+1/2,-y+1/2,-z'
'-x+1/2,y+1/2,-z+1/2'
'x+1/2,-y+1/2,z+1/2'
loop_
_atom_site_label
_atom_site_fract_x
_atom_site_fract_y
_atom_site_fract_z
Cs1 0.000 0.112 0.250
Rb1 0.000 0.391 0.750
Co1 0.248 0.317 0.144
Cl1 0.101 0.371 0.152
Cl2 0.111 0.147 0.658
Cl3 0.239 0.125 0.086
```

---

No. 5
A plane-wave DFT calculation with PBE-GGA was carried out for a geometry-optimized HgPtCl2 structure.

Values from the calculation:
Its energy above the lowest structure with this stoichiometry is 55 meV/atom. As for the density: 6.83 g/cm³. As for the formation energy without anion corrections: -0.1682 eV per atom. Its total moment is 0.00 μB per cell.

Geometry as CIF:
```
data_HgPtCl2
_cell_length_a 3.468
_cell_length_b 7.496
_cell_length_c 8.732
_cell_angle_alpha 90.00
_cell_angle_beta 90.00
_cell_angle_gamma 90.00
_symmetry_space_group_name_H-M 'C m m 2'
_symmetry_Int_Tables_number 35
loop_
_symmetry_equiv_pos_as_xyz
'x,y,z'
'-x,-y,z'
'-x,y,z'
'x,-y,z'
'x+1/2,y+1/2,z'
'-x+1/2,-y+1/2,z'
'-x+1/2,y+1/2,z'
'x+1/2,-y+1/2,z'
loop_
_atom_site_label
_atom_site_fract_x
_atom_site_fract_y
_atom_site_fract_z
Hg1 0.000 0.000 0.000
Pt1 0.000 0.500 0.769
Cl1 0.000 0.000 0.595
Cl2 0.000 0.500 0.215
```

---

No. 6
A plane-wave DFT calculation with PBE-GGA was carried out for a geometry-optimized HfZn2Ga2 structure.

Values from the calculation:
Its energy above the lowest structure with this stoichiometry is 343 meV/atom. As for the density: 7.67 g/cm³. Its total moment is 0.00 μB per cell. The calculation puts the density of states at the Fermi level at 0.404 states/eV/atom. For the formation energy, the calculation gives 0.0702 eV per atom.

Geometry as CIF:
```
data_HfZn2Ga2
_cell_length_a 4.5416
_cell_length_b 4.5416
_cell_length_c 10.8809
_cell_angle_alpha 90.00
_cell_angle_beta 90.00
_cell_angle_gamma 120.00
_symmetry_space_group_name_H-M 'P 63/m m c'
_symmetry_Int_Tables_number 194
_symmetry_space_group_name_Hall '-P 6c 2c'
loop_
_atom_site_label
_atom_site_fract_x
_atom_site_fract_y
_atom_site_fract_z
Hf1 0.0000 0.0000 0.2500
Zn1 0.3333 0.6667 0.1138
Ga1 0.0000 0.0000 0.0000
Ga2 0.3333 0.6667 0.7500
```

---

No. 7
A plane-wave DFT calculation with PBE-GGA was carried out for a geometry-optimized TlBi3N structure.

Values from the calculation:
Its energy above the lowest structure with this stoichiometry is 1687 meV/atom. As for the density: 7.18 g/cm³. As for the formation energy without anion corrections: 2.0317 eV per atom. Its total moment is 0.00 μB per cell. The calculation puts the density of states at the Fermi level at 3.159 states/eV/atom.

Geometry as CIF:
```
data_TlBi3N
_cell_length_a 5.804
_cell_length_b 5.804
_cell_length_c 5.804
_cell_angle_alpha 90.00
_cell_angle_beta 90.00
_cell_angle_gamma 90.00
_symmetry_space_group_name_H-M 'P m -3 m'
_symmetry_Int_Tables_number 221
_symmetry_space_group_name_Hall '-P 4 2 3'
loop_
_atom_site_label
_atom_site_fract_x
_atom_site_fract_y
_atom_site_fract_z
Tl1 0.000 0.000 0.000
Bi1 0.000 0.000 0.500
N1 0.500 0.500 0.500
```

---

No. 8
A plane-wave DFT calculation with PBE-GGA was carried out for a geometry-optimized KLi2Zn2Bi2 structure.

Values from the calculation:
As for the density: 5.54 g/cm³. Its total moment is 0.00 μB per cell. The calculation puts the density of states at the Fermi level at 0.367 states/eV/atom. For the formation energy, the calculation gives -0.3364 eV per atom.

Geometry as CIF:
```
data_KLi2Zn2Bi2
_cell_length_a 4.6596
_cell_length_b 4.6596
_cell_length_c 28.7912
_cell_angle_alpha 90.00
_cell_angle_beta 90.00
_cell_angle_gamma 120.00
_symmetry_space_group_name_H-M 'R -3 m'
_symmetry_Int_Tables_number 166
_symmetry_space_group_name_Hall '-R 3 2"'
loop_
_atom_site_label
_atom_site_fract_x
_atom_site_fract_y
_atom_site_fract_z
K1 0.0000 0.0000 0.0000
Li1 0.0000 0.0000 0.1433
Zn1 0.0000 0.0000 0.4544
Bi1 0.0000 0.0000 0.2460
```

---

No. 9
A plane-wave DFT calculation with PBE-GGA was carried out for a geometry-optimized BaHg3Pt structure.

Values from the calculation:
Its energy above the lowest structure with this stoichiometry is 0 meV/atom. As for the density: 11.18 g/cm³. Its total moment is 0.00 μB per cell. The calculation puts the density of states at the Fermi level at 0.407 states/eV/atom. For the formation energy, the calculation gives -0.3881 eV per atom.

Geometry as CIF:
```
data_BaHg3Pt
_cell_length_a 6.764
_cell_length_b 6.639
_cell_length_c 7.043
_cell_angle_alpha 90.00
_cell_angle_beta 118.64
_cell_angle_gamma 90.00
_symmetry_space_group_name_H-M 'P 1 21/m 1'
_symmetry_Int_Tables_number 11
loop_
_symmetry_equiv_pos_as_xyz
'x,y,z'
'-x,-y,-z'
'-x,y+1/2,-z'
'x,-y+1/2,z'
loop_
_atom_site_label
_atom_site_fract_x
_atom_site_fract_y
_atom_site_fract_z
Ba1 0.242 0.250 0.484
Hg1 0.139 0.750 0.278
Hg2 0.271 0.000 0.000
Pt1 0.360 0.750 0.718
```

---

No. 10
A plane-wave DFT calculation with PBE-GGA was carried out for a geometry-optimized TaFeMo2 structure.

Values from the calculation:
Its energy above the lowest structure with this stoichiometry is 173 meV/atom. As for the density: 11.71 g/cm³. Its total moment is 0.00 μB per cell. The calculation puts the density of states at the Fermi level at 1.198 states/eV/atom. For the formation energy, the calculation gives 0.1436 eV per atom.

Geometry as CIF:
```
data_TaFeMo2
_cell_length_a 2.719
_cell_length_b 2.719
_cell_length_c 8.223
_cell_angle_alpha 90.00
_cell_angle_beta 90.00
_cell_angle_gamma 90.00
_symmetry_space_group_name_H-M 'P 4/m m m'
_symmetry_Int_Tables_number 123
_symmetry_space_group_name_Hall '-P 4 2'
loop_
_atom_site_label
_atom_site_fract_x
_atom_site_fract_y
_atom_site_fract_z
Ta1 0.000 0.000 0.000
Fe1 0.000 0.000 0.500
Mo1 0.500 0.500 0.287
```

---

No. 11
A plane-wave DFT calculation with PBE-GGA was carried out for a geometry-optimized Ca4MgTl2 structure.

Values from the calculation:
Its energy above the lowest structure with this stoichiometry is 0 meV/atom. As for the density: 4.38 g/cm³. Its total moment is 0.00 μB per cell. The calculation puts the density of states at the Fermi level at 1.125 states/eV/atom. For the formation energy, the calculation gives -0.2759 eV per atom.

Geometry as CIF:
```
data_Ca4MgTl2
_cell_length_a 5.4309
_cell_length_b 5.4309
_cell_length_c 26.4513
_cell_angle_alpha 90.00
_cell_angle_beta 90.00
_cell_angle_gamma 120.00
_symmetry_space_group_name_H-M 'R -3 m'
_symmetry_Int_Tables_number 166
_symmetry_space_group_name_Hall '-R 3 2"'
loop_
_atom_site_label
_atom_site_fract_x
_atom_site_fract_y
_atom_site_fract_z
Ca1 0.0000 0.0000 0.1198
Ca2 0.0000 0.0000 0.3718
Mg1 0.0000 0.0000 0.5000
Tl1 0.0000 0.0000 0.2454
```

---

No. 12
A plane-wave DFT calculation with PBE-GGA was carried out for a geometry-optimized Dy4Er5Th structure.

Values from the calculation:
Its energy above the lowest structure with this stoichiometry is 0 meV/atom. As for the density: 8.70 g/cm³. Its total moment is 0.00 μB per cell. The calculation puts the density of states at the Fermi level at 1.317 states/eV/atom. For the formation energy, the calculation gives 0.1829 eV per atom.

Geometry as CIF:
```
data_Dy4Er5Th
_cell_length_a 17.018
_cell_length_b 3.534
_cell_length_c 10.909
_cell_angle_alpha 90.00
_cell_angle_beta 90.51
_cell_angle_gamma 90.00
_symmetry_space_group_name_H-M 'C 1 2/m 1'
_symmetry_Int_Tables_number 12
loop_
_symmetry_equiv_pos_as_xyz
'x,y,z'
'-x,-y,-z'
'-x,y,-z'
'x,-y,z'
'x+1/2,y+1/2,z'
'-x+1/2,-y+1/2,-z'
'-x+1/2,y+1/2,-z'
'x+1/2,-y+1/2,z'
loop_
_atom_site_label
_atom_site_fract_x
_atom_site_fract_y
_atom_site_fract_z
Dy1 0.026 0.000 0.249
Dy2 0.152 0.500 0.746
Er1 0.000 0.500 0.000
Er2 0.172 0.000 0.449
Er3 0.173 0.000 0.048
Th1 0.000 0.500 0.500
```